Below is a relaxed Sr2Cu3Ge4Pt crystal, with properties calculated at the PBE-GGA level.

Total magnetization: 0.00 μB/cell
Total DFT energy (no corrections): -4.467 eV/atom
Space group: P-4m2, No. 115

Structure (CIF):
```
data_Sr2Cu3Ge4Pt
_chemical_formula_sum 'Sr2 Cu3 Ge4 Pt1'
_space_group_name_H-M_alt 'P 1'
_space_group_IT_number 1
_cell_length_a 4.3420
_cell_length_b 4.3420
_cell_length_c 10.2384
_cell_angle_alpha 90.00
_cell_angle_beta 90.00
_cell_angle_gamma 90.00
loop_
_space_group_symop_operation_xyz
'x,y,z'
loop_
_atom_site_label
_atom_site_fract_x
_atom_site_fract_y
_atom_site_fract_z
Sr1 0.0000 0.5000 0.2497
Sr2 0.5000 0.0000 0.7503
Cu1 0.0000 0.0000 0.0000
Cu2 0.0000 0.5000 0.6272
Cu3 0.5000 0.0000 0.3728
Ge1 0.0000 0.0000 0.5000
Ge2 0.0000 0.5000 0.8720
Ge3 0.5000 0.0000 0.1280
Ge4 0.5000 0.5000 0.5000
Pt1 0.5000 0.5000 0.0000
```

---

Below is a relaxed ZrFe2 crystal, with properties calculated at the PBE-GGA level.

Total magnetization: 14.22 μB/cell
Total DFT energy (no corrections): -8.494 eV/atom
Space group: C2/m, No. 12

Structure (CIF):
```
data_ZrFe2
_chemical_formula_sum 'Zr4 Fe8'
_space_group_name_H-M_alt 'P 1'
_space_group_IT_number 1
_cell_length_a 9.2661
_cell_length_b 4.3008
_cell_length_c 5.1661
_cell_angle_alpha 90.00
_cell_angle_beta 118.61
_cell_angle_gamma 90.00
loop_
_space_group_symop_operation_xyz
'x,y,z'
loop_
_atom_site_label
_atom_site_fract_x
_atom_site_fract_y
_atom_site_fract_z
Zr1 0.1821 0.0000 0.2288
Zr2 0.3179 0.5000 0.7712
Zr3 0.6821 0.5000 0.2288
Zr4 0.8179 0.0000 0.7712
Fe1 0.0061 0.5000 0.7566
Fe2 0.1321 0.0000 0.6897
Fe3 0.3679 0.5000 0.3103
Fe4 0.4939 0.0000 0.2434
Fe5 0.5061 0.0000 0.7566
Fe6 0.6321 0.5000 0.6897
Fe7 0.8679 0.0000 0.3103
Fe8 0.9939 0.5000 0.2434
```

---

Below is a relaxed PuTlPbO6 crystal, with properties calculated at the PBE-GGA level.

Total magnetization: 2.06 μB/cell
Space group: P-31c, No. 163
E_form (uncorrected): -1.514 eV/atom

Structure (CIF):
```
data_PuTlPbO6
_chemical_formula_sum 'Pu2 Tl2 Pb2 O12'
_space_group_name_H-M_alt 'P 1'
_space_group_IT_number 1
_cell_length_a 5.6889
_cell_length_b 5.6889
_cell_length_c 10.6547
_cell_angle_alpha 90.00
_cell_angle_beta 90.00
_cell_angle_gamma 120.00
loop_
_space_group_symop_operation_xyz
'x,y,z'
loop_
_atom_site_label
_atom_site_fract_x
_atom_site_fract_y
_atom_site_fract_z
Pu1 0.3333 0.6667 0.2500
Pu2 0.6667 0.3333 0.7500
Tl1 0.3333 0.6667 0.7500
Tl2 0.6667 0.3333 0.2500
Pb1 0.0000 0.0000 0.0000
Pb2 0.0000 0.0000 0.5000
O1 0.0362 0.3763 0.1409
O2 0.0362 0.6599 0.3591
O3 0.3401 0.3763 0.3591
O4 0.3401 0.9638 0.1409
O5 0.3763 0.0362 0.6409
O6 0.3763 0.3401 0.8591
O7 0.6237 0.6599 0.1409
O8 0.6237 0.9638 0.3591
O9 0.6599 0.0362 0.8591
O10 0.6599 0.6237 0.6409
O11 0.9638 0.3401 0.6409
O12 0.9638 0.6237 0.8591
```

---

Below is a relaxed IrWI2N crystal, with properties calculated at the PBE-GGA level.

Total magnetization: 3.43 μB/cell
Space group: P4/mmm, No. 123
Distance to the lowest polymorph of the same formula: 150 meV per atom
E_form (uncorrected): 1.354 eV/atom

Structure (CIF):
```
data_IrWI2N
_chemical_formula_sum 'Ir1 W1 I2 N1'
_space_group_name_H-M_alt 'P 1'
_space_group_IT_number 1
_cell_length_a 5.6044
_cell_length_b 5.6044
_cell_length_c 3.6599
_cell_angle_alpha 90.00
_cell_angle_beta 90.00
_cell_angle_gamma 90.00
loop_
_space_group_symop_operation_xyz
'x,y,z'
loop_
_atom_site_label
_atom_site_fract_x
_atom_site_fract_y
_atom_site_fract_z
Ir1 0.0000 0.0000 0.0000
W1 0.5000 0.5000 0.5000
I1 0.0000 0.5000 0.0000
I2 0.5000 0.0000 0.0000
N1 0.0000 0.0000 0.5000
```

---

Below is a relaxed AgTeS2I crystal, with properties calculated at the PBE-GGA level.

Total magnetization: 0.00 μB/cell
Space group: P2_1/m, No. 11
E_form (uncorrected): -0.001 eV/atom

Structure (CIF):
```
data_AgTeS2I
_chemical_formula_sum 'Ag2 Te2 S4 I2'
_space_group_name_H-M_alt 'P 1'
_space_group_IT_number 1
_cell_length_a 6.7127
_cell_length_b 5.5238
_cell_length_c 7.9603
_cell_angle_alpha 90.00
_cell_angle_beta 99.65
_cell_angle_gamma 90.00
loop_
_space_group_symop_operation_xyz
'x,y,z'
loop_
_atom_site_label
_atom_site_fract_x
_atom_site_fract_y
_atom_site_fract_z
Ag1 0.1577 0.2500 0.4120
Ag2 0.8423 0.7500 0.5880
Te1 0.1484 0.2500 0.8889
Te2 0.8516 0.7500 0.1111
S1 0.0800 0.7500 0.3783
S2 0.1151 0.7500 0.9307
S3 0.8849 0.2500 0.0693
S4 0.9200 0.2500 0.6217
I1 0.4991 0.7500 0.7358
I2 0.5009 0.2500 0.2642
```

---

Below is a relaxed K2ZnSbH crystal, with properties calculated at the PBE-GGA level.

Total magnetization: 0.00 μB/cell
Total DFT energy (no corrections): -2.536 eV/atom
Space group: P2_1/m, No. 11

Structure (CIF):
```
data_K2ZnSbH
_chemical_formula_sum 'K4 Zn2 Sb2 H2'
_space_group_name_H-M_alt 'P 1'
_space_group_IT_number 1
_cell_length_a 7.0959
_cell_length_b 4.4881
_cell_length_c 9.9294
_cell_angle_alpha 90.00
_cell_angle_beta 109.47
_cell_angle_gamma 90.00
loop_
_space_group_symop_operation_xyz
'x,y,z'
loop_
_atom_site_label
_atom_site_fract_x
_atom_site_fract_y
_atom_site_fract_z
K1 0.1992 0.2500 0.4067
K2 0.2201 0.2500 0.9564
K3 0.7799 0.7500 0.0436
K4 0.8008 0.7500 0.5933
Zn1 0.4439 0.7500 0.2344
Zn2 0.5561 0.2500 0.7656
Sb1 0.3494 0.7500 0.7125
Sb2 0.6506 0.2500 0.2875
H1 0.1918 0.7500 0.1618
H2 0.8082 0.2500 0.8382
```

---

Repeat the third record exactly.
Below is a relaxed PuTlPbO6 crystal, with properties calculated at the PBE-GGA level.

Total magnetization: 2.06 μB/cell
Space group: P-31c, No. 163
E_form (uncorrected): -1.514 eV/atom

Structure (CIF):
```
data_PuTlPbO6
_chemical_formula_sum 'Pu2 Tl2 Pb2 O12'
_space_group_name_H-M_alt 'P 1'
_space_group_IT_number 1
_cell_length_a 5.6889
_cell_length_b 5.6889
_cell_length_c 10.6547
_cell_angle_alpha 90.00
_cell_angle_beta 90.00
_cell_angle_gamma 120.00
loop_
_space_group_symop_operation_xyz
'x,y,z'
loop_
_atom_site_label
_atom_site_fract_x
_atom_site_fract_y
_atom_site_fract_z
Pu1 0.3333 0.6667 0.2500
Pu2 0.6667 0.3333 0.7500
Tl1 0.3333 0.6667 0.7500
Tl2 0.6667 0.3333 0.2500
Pb1 0.0000 0.0000 0.0000
Pb2 0.0000 0.0000 0.5000
O1 0.0362 0.3763 0.1409
O2 0.0362 0.6599 0.3591
O3 0.3401 0.3763 0.3591
O4 0.3401 0.9638 0.1409
O5 0.3763 0.0362 0.6409
O6 0.3763 0.3401 0.8591
O7 0.6237 0.6599 0.1409
O8 0.6237 0.9638 0.3591
O9 0.6599 0.0362 0.8591
O10 0.6599 0.6237 0.6409
O11 0.9638 0.3401 0.6409
O12 0.9638 0.6237 0.8591
```

---

Please write out number 4 again, unchanged.
Below is a relaxed IrWI2N crystal, with properties calculated at the PBE-GGA level.

Total magnetization: 3.43 μB/cell
Space group: P4/mmm, No. 123
Distance to the lowest polymorph of the same formula: 150 meV per atom
E_form (uncorrected): 1.354 eV/atom

Structure (CIF):
```
data_IrWI2N
_chemical_formula_sum 'Ir1 W1 I2 N1'
_space_group_name_H-M_alt 'P 1'
_space_group_IT_number 1
_cell_length_a 5.6044
_cell_length_b 5.6044
_cell_length_c 3.6599
_cell_angle_alpha 90.00
_cell_angle_beta 90.00
_cell_angle_gamma 90.00
loop_
_space_group_symop_operation_xyz
'x,y,z'
loop_
_atom_site_label
_atom_site_fract_x
_atom_site_fract_y
_atom_site_fract_z
Ir1 0.0000 0.0000 0.0000
W1 0.5000 0.5000 0.5000
I1 0.0000 0.5000 0.0000
I2 0.5000 0.0000 0.0000
N1 0.0000 0.0000 0.5000
```

---

Number 4 is which compound?
IrWI2N

---

What did the first record say?
Below is a relaxed Sr2Cu3Ge4Pt crystal, with properties calculated at the PBE-GGA level.

Total magnetization: 0.00 μB/cell
Total DFT energy (no corrections): -4.467 eV/atom
Space group: P-4m2, No. 115

Structure (CIF):
```
data_Sr2Cu3Ge4Pt
_chemical_formula_sum 'Sr2 Cu3 Ge4 Pt1'
_space_group_name_H-M_alt 'P 1'
_space_group_IT_number 1
_cell_length_a 4.3420
_cell_length_b 4.3420
_cell_length_c 10.2384
_cell_angle_alpha 90.00
_cell_angle_beta 90.00
_cell_angle_gamma 90.00
loop_
_space_group_symop_operation_xyz
'x,y,z'
loop_
_atom_site_label
_atom_site_fract_x
_atom_site_fract_y
_atom_site_fract_z
Sr1 0.0000 0.5000 0.2497
Sr2 0.5000 0.0000 0.7503
Cu1 0.0000 0.0000 0.0000
Cu2 0.0000 0.5000 0.6272
Cu3 0.5000 0.0000 0.3728
Ge1 0.0000 0.0000 0.5000
Ge2 0.0000 0.5000 0.8720
Ge3 0.5000 0.0000 0.1280
Ge4 0.5000 0.5000 0.5000
Pt1 0.5000 0.5000 0.0000
```